Entry 1:
First-principles (PBE-GGA) data for an optimized crystal structure of Er5ZrHg4, as listed in Alexandria.

Computed properties:
**Total energy**: -3.62 eV/atom

Structure (extended XYZ):
```
10
Lattice="3.5838 0.0000 0.0000 0.0000 3.5838 0.0000 0.0000 0.0000 19.8595" Properties=species:S:1:pos:R:3 pbc="T T T"
Er 0.0000 0.0000 0.0000
Er 0.0000 0.0000 3.8206
Er 0.0000 0.0000 7.7678
Er 0.0000 0.0000 12.0917
Er 0.0000 0.0000 16.0388
Zr 1.7919 1.7919 9.9297
Hg 1.7919 1.7919 1.9086
Hg 1.7919 1.7919 5.7924
Hg 1.7919 1.7919 14.0671
Hg 1.7919 1.7919 17.9509
```



Entry 2:
First-principles (PBE-GGA) data for an optimized crystal structure of Y3HPb, as listed in Alexandria.

Computed properties:
**Energy above the most stable polymorph in this dataset**: 0.098 eV/atom
**Total energy**: -5.65 eV/atom

Structure (extended XYZ):
```
10
Lattice="5.9201 -2.4584 0.0000 5.9201 2.4584 0.0000 -3.7710 0.0000 8.3012" Properties=species:S:1:pos:R:3 pbc="T T T"
Y 0.6150 0.0000 1.6464
Y -0.8701 0.0000 5.4983
Y 4.0804 0.0000 0.4861
Y 3.9888 0.0000 7.8151
Y 8.9394 0.0000 2.8029
Y 7.4542 0.0000 6.6548
H -2.0216 0.0000 7.6575
H 10.0909 0.0000 0.6437
Pb 2.5076 0.0000 4.8219
Pb 5.5617 0.0000 3.4793
```



Entry 3:
First-principles (PBE-GGA) data for an optimized crystal structure of SmTmPtRh, as listed in Alexandria.

Computed properties:
**Energy above the most stable polymorph in this dataset**: 0.027 eV/atom
**Total energy**: -6.65 eV/atom

Structure (extended XYZ):
```
4
Lattice="0.0000 3.4758 3.4758 3.4758 0.0000 3.4758 3.4758 3.4758 0.0000" Properties=species:S:1:pos:R:3 pbc="T T T"
Sm 0.0000 0.0000 0.0000
Tm 3.4758 3.4758 3.4758
Pt 5.2137 5.2137 5.2137
Rh 1.7379 1.7379 1.7379
```



Entry 4:
First-principles (PBE-GGA) data for an optimized crystal structure of CaScSi, as listed in Alexandria.

Computed properties:
**Formation energy without anion corrections**: -0.23 eV per atom
**Total energy**: -4.82 eV/atom

Structure (extended XYZ):
```
3
Lattice="4.5865 0.0000 0.0000 -2.2933 3.9721 0.0000 0.0000 0.0000 4.2516" Properties=species:S:1:pos:R:3 pbc="T T T"
Ca 0.0000 0.0000 0.0000
Sc 0.0000 2.6480 2.1172
Si 2.2933 1.3240 2.2527
```



> Look up the total energy of the second one.

-5.65 eV/atom



> Among the records above, which one has the highest total energy?

Er5ZrHg4



> total energy of number 4 (CaScSi)?

-4.82 eV/atom



What did the third record say?
First-principles (PBE-GGA) data for an optimized crystal structure of SmTmPtRh, as listed in Alexandria.

Computed properties:
**Energy above the most stable polymorph in this dataset**: 0.027 eV/atom
**Total energy**: -6.65 eV/atom

Structure (extended XYZ):
```
4
Lattice="0.0000 3.4758 3.4758 3.4758 0.0000 3.4758 3.4758 3.4758 0.0000" Properties=species:S:1:pos:R:3 pbc="T T T"
Sm 0.0000 0.0000 0.0000
Tm 3.4758 3.4758 3.4758
Pt 5.2137 5.2137 5.2137
Rh 1.7379 1.7379 1.7379
```